Record 1
VASP calculation (PBE) on a geometry-optimized Ti3V4Si2 structure.

raw formation energy: -286 meV/atom
E: -8.176 eV per atom

Cell: 4.2836 5.1198 7.4348 Å, 61.86 73.56 65.25°
Element x y z (fractional)
Ti 0.5541 0.2180 0.6670
Ti 0.0000 0.0000 0.0000
Ti 0.4459 0.7820 0.3330
V 0.3241 0.3315 0.0221
V 0.8797 0.5883 0.6449
V 0.1203 0.4117 0.3551
V 0.6759 0.6685 0.9779
Si 0.7716 0.1632 0.3006
Si 0.2284 0.8368 0.6994

---

Record 2
VASP calculation (PBE) on a geometry-optimized Ti4VSi structure.

raw formation energy: 201 meV/atom
E: -7.486 eV per atom

Cell: 4.2286 4.2299 6.0481 Å, 89.91 89.95 90.00°
Element x y z (fractional)
Ti 0.5011 0.9968 0.2605
Ti 0.5015 0.9978 0.7357
Ti 0.0016 0.4977 0.7357
Ti 0.0010 0.4969 0.2606
V 0.0013 0.9972 0.4981
Si 0.5013 0.4973 0.9981

---

Record 3
VASP calculation (PBE) on a geometry-optimized Ti2VSi4 structure.

raw formation energy: 162 meV/atom
E: -6.495 eV per atom

Cell: 4.4865 4.4865 6.9963 Å, 71.30 71.30 90.00°
Element x y z (fractional)
Si 0.1900 0.1900 0.6200
Si 0.8100 0.8100 0.3800
Si 0.0000 0.5000 0.0000
Si 0.5000 0.0000 0.0000
Ti 0.3911 0.3911 0.2177
Ti 0.6089 0.6089 0.7823
V 0.0000 0.0000 0.0000

---

Copy entry 2 word for word.
VASP calculation (PBE) on a geometry-optimized Ti4VSi structure.

raw formation energy: 201 meV/atom
E: -7.486 eV per atom

Cell: 4.2286 4.2299 6.0481 Å, 89.91 89.95 90.00°
Element x y z (fractional)
Ti 0.5011 0.9968 0.2605
Ti 0.5015 0.9978 0.7357
Ti 0.0016 0.4977 0.7357
Ti 0.0010 0.4969 0.2606
V 0.0013 0.9972 0.4981
Si 0.5013 0.4973 0.9981

---

> Number 2 is which compound?

Ti4VSi

---

> What is the E in the first record?

-8.176 eV per atom